Record 1
# PrSm2Tc | Alexandria via LeMat-Bulk | PBE | relaxed
data_PrSm2Tc
_chemical_formula_sum 'Pr4 Sm8 Tc4'
_space_group_name_H-M_alt 'P n m a'
_space_group_IT_number 62
_cell_length_a 7.5204
_cell_length_b 9.5062
_cell_length_c 6.5051
_cell_angle_alpha 90.00
_cell_angle_beta 90.00
_cell_angle_gamma 90.00
loop_
_space_group_symop_operation_xyz
'x,y,z'
'-x,-y,-z'
'-x+1/2,-y,z+1/2'
'x+1/2,y,-z+1/2'
'x+1/2,-y+1/2,-z+1/2'
'-x+1/2,y+1/2,z+1/2'
'-x,y+1/2,-z'
'x,-y+1/2,z'
loop_
_atom_site_label
_atom_site_fract_x
_atom_site_fract_y
_atom_site_fract_z
Pr1 0.0461 0.2500 0.1310
Sm1 0.1758 0.0657 0.6640
Tc1 0.1107 0.7500 0.4570
# N(E_F) ... 14.29 states/eV per cell
# Energy of formation ... 0.005 eV/atom
# ρ ... 7.71 Mg/m³

Record 2
# PrSm2Tc | Alexandria via LeMat-Bulk | PBE | relaxed
data_PrSm2Tc
_chemical_formula_sum 'Pr1 Sm2 Tc1'
_space_group_name_H-M_alt 'P 4/m m m'
_space_group_IT_number 123
_space_group_name_Hall '-P 4 2'
_cell_length_a 3.5127
_cell_length_b 3.5127
_cell_length_c 9.2644
_cell_angle_alpha 90.00
_cell_angle_beta 90.00
_cell_angle_gamma 90.00
loop_
_atom_site_label
_atom_site_fract_x
_atom_site_fract_y
_atom_site_fract_z
Pr1 0.0000 0.0000 0.0000
Sm1 0.5000 0.5000 0.3175
Tc1 0.0000 0.0000 0.5000
# N(E_F) ... 5.88 states/eV per cell
# Energy of formation ... 0.096 eV/atom
# ρ ... 7.84 Mg/m³

Record 3
# PrSmTc | Alexandria via LeMat-Bulk | PBE | relaxed
data_PrSmTc
_chemical_formula_sum 'Pr2 Sm2 Tc2'
_space_group_name_H-M_alt 'I 4 m m'
_space_group_IT_number 107
_space_group_name_Hall 'I 4 -2'
_cell_length_a 3.5352
_cell_length_b 3.5352
_cell_length_c 13.2776
_cell_angle_alpha 90.00
_cell_angle_beta 90.00
_cell_angle_gamma 90.00
loop_
_atom_site_label
_atom_site_fract_x
_atom_site_fract_y
_atom_site_fract_z
Pr1 0.0000 0.0000 0.0000
Sm1 0.0000 0.0000 0.7456
Tc1 0.0000 0.0000 0.3697
# N(E_F) ... 8.09 states/eV per cell
# Energy of formation ... 0.105 eV/atom
# ρ ... 7.79 Mg/m³

Record 4
# PrSm2Tc | Alexandria via LeMat-Bulk | PBE | relaxed
data_PrSm2Tc
_chemical_formula_sum 'Pr3 Sm6 Tc3'
_space_group_name_H-M_alt 'R -3 m'
_space_group_IT_number 166
_space_group_name_Hall '-R 3 2"'
_cell_length_a 3.5009
_cell_length_b 3.5009
_cell_length_c 33.4590
_cell_angle_alpha 90.00
_cell_angle_beta 90.00
_cell_angle_gamma 120.00
loop_
_atom_site_label
_atom_site_fract_x
_atom_site_fract_y
_atom_site_fract_z
Pr1 0.0000 0.0000 0.0000
Sm1 0.0000 0.0000 0.1057
Tc1 0.0000 0.0000 0.5000
# N(E_F) ... 15.28 states/eV per cell
# Energy of formation ... 0.316 eV/atom
# ρ ... 7.57 Mg/m³